P.
TeIr2Pb (PBE-GGA, relaxed); magnetization = 0.00 μB/f.u.; space-group type = Cm (8)
1.0
4.1637 0.0489 -0.0383
2.0524 3.6231 -0.0383
2.1460 1.2677 6.4311
Ir Pb Te
2 1 1
direct
0.9812 0.9812 0.0581
0.2763 0.2763 0.1701
0.5218 0.5218 0.4274
0.7207 0.7207 0.8444

Q.
TeIr2Pb (PBE-GGA, relaxed); magnetization = 0.00 μB/f.u.; space-group type = I-4m2 (119)
1.0
-0.0050 4.8555 2.8062
-4.5012 1.3867 3.0441
3.3793 -4.4258 -0.6656
Ir Pb Te
2 1 1
direct
0.0000 0.0000 0.0000
0.2500 0.7500 0.5000
0.5000 0.5000 0.0000
0.7500 0.2500 0.5000

Energies relative to the most stable structure are P 0.000; Q 0.391, reported in eV/atom.

P.
TeIr2Pb (PBE-GGA, relaxed); magnetization = 0.00 μB/f.u.; space-group type = Pmmm (47)
1.0
-2.1122 -1.3479 -1.8660
-0.2864 -4.2630 3.4035
-3.4563 2.1283 2.3750
Ir Pb Te
2 1 1
direct
0.0000 0.0000 0.0000
0.5000 0.5000 0.0000
0.5000 0.0000 0.5000
0.0000 0.5000 0.5000

Q.
TeIr2Pb (PBE-GGA, relaxed); magnetization = 0.00 μB/f.u.; space-group type = R-3m (166)
1.0
8.5531 0.0489 0.0290
7.8928 3.2958 0.0290
7.8928 1.6052 2.8786
Ir Pb Te
2 1 1
direct
0.0046 0.0046 0.0046
0.4954 0.4954 0.4954
0.2500 0.2500 0.2500
0.7500 0.7500 0.7500

R.
TeIr2Pb (PBE-GGA, relaxed); magnetization = 0.00 μB/f.u.; space-group type = Pm (6)
1.0
-3.3676 2.3840 -0.2099
-0.4833 -0.2733 4.6488
2.4378 3.6718 2.5916
Ir Pb Te
2 1 1
direct
0.0000 0.0655 0.0015
0.5000 0.1538 0.2531
0.0000 0.4638 0.4261
0.5000 0.8168 0.8194

Energies relative to the most stable structure are P 0.494; Q 0.240; R 0.000, reported in eV/atom.